Record 1
5
Lattice="-0.401 2.635 -2.295 1.663 -1.888 -2.458 -6.665 -2.961 -2.235" Properties=species:S:1:pos:R:3 comment="NiBIN2 | Alexandria | PBE | optimized geometry" de_polymorph_ev_per_atom=0.401 m_tot_mub_per_atom=0.04 pbc="T T T"
N -0.200 1.317 -1.147
N 0.831 -0.944 -1.229
Ni 0.000 0.000 0.000
I -3.333 -1.480 -1.118
B -2.702 -1.107 -3.494

---

Record 2
5
Lattice="3.642 0.000 0.000 0.000 3.642 0.000 1.821 1.821 7.225" Properties=species:S:1:pos:R:3 comment="Hg2IrPd2 | Alexandria | PBE | optimized geometry" formation_enthalpy_0k_ev_per_atom=0.571 de_polymorph_ev_per_atom=0.152 m_tot_mub_per_atom=0.00 pbc="T T T"
Hg 1.821 1.821 1.430
Hg 3.642 3.642 5.795
Ir 0.000 0.000 0.000
Pd 3.642 1.821 3.613
Pd 1.821 3.642 3.613

---

Record 3
4
Lattice="0.000 2.945 2.945 2.945 0.000 2.945 2.945 2.945 0.000" Properties=species:S:1:pos:R:3 comment="Re2BSe | Alexandria | PBE | optimized geometry" de_polymorph_ev_per_atom=0.055 m_tot_mub_per_atom=0.00 pbc="T T T"
B 0.000 0.000 0.000
Re 1.473 1.473 1.473
Re 4.418 4.418 4.418
Se 2.945 2.945 2.945

---

Record 4
10
Lattice="-2.089 -1.988 -4.134 -5.730 -3.186 1.355 -6.416 8.356 -3.849" Properties=species:S:1:pos:R:3 comment="K2Tl2Pd | Alexandria | PBE | optimized geometry" formation_enthalpy_0k_ev_per_atom=-0.132 de_polymorph_ev_per_atom=0.000 m_tot_mub_per_atom=0.00 pbc="T T T"
Tl -5.033 3.782 -2.348
Tl -9.203 -0.599 -4.279
Tl -2.212 -0.004 -1.953
Tl -12.023 3.186 -4.674
K -5.548 0.411 -3.539
K -4.936 -1.436 0.112
K -9.299 4.618 -6.739
K -8.687 2.771 -3.088
Pd -8.299 -0.693 -1.618
Pd -5.936 3.875 -5.009

---

Record 5
6
Lattice="-1.354 -1.817 2.070 1.152 -4.314 -3.034 4.762 -2.289 1.106" Properties=species:S:1:pos:R:3 comment="LiAlC | Alexandria | PBE | optimized geometry" formation_enthalpy_0k_ev_per_atom=0.156 m_tot_mub_per_atom=0.00 pbc="T T T"
Al 4.702 -5.034 -1.343
Al 1.469 -1.425 -0.289
C 5.019 -6.904 -0.501
C -0.024 -1.272 1.143
Li 3.032 -3.788 0.934
Li 2.257 -3.694 -1.766

---

Record 6
8
Lattice="-3.527 1.307 3.723 -3.322 -3.657 1.898 3.474 -2.814 8.041" Properties=species:S:1:pos:R:3 comment="YHo2ScTl4 | Alexandria | PBE | optimized geometry" formation_enthalpy_0k_ev_per_atom=-0.313 m_tot_mub_per_atom=0.00 pbc="T T T"
Sc -1.688 -2.582 6.831
Tl 0.440 -3.332 9.109
Tl 1.288 -2.043 5.699
Tl -4.663 -3.121 7.963
Tl -3.815 -1.832 4.552
Ho -2.553 -3.865 10.223
Ho -0.822 -1.299 3.439
Y 0.000 0.000 0.000

---

Record 7
18
Lattice="-2.317 3.406 -6.297 3.414 -6.695 -0.382 -12.991 -6.690 1.160" Properties=species:S:1:pos:R:3 comment="NaPaCuI6 | Alexandria | PBE | optimized geometry" final_energy_ev_per_atom=-3.46 m_tot_mub_per_atom=0.11 pbc="T T T"
I -9.008 -3.099 -1.530
I 0.842 -6.318 -2.400
I -7.549 -6.298 -3.630
I -11.363 -6.732 -5.453
I -4.346 -3.681 -1.888
I -0.978 -3.085 -4.133
I -12.736 -3.660 -3.119
I -2.886 -6.880 -3.988
I -0.531 -3.247 -0.065
I -2.567 -6.792 0.094
I -9.328 -3.187 -5.612
I -10.916 -6.894 -1.385
Cu -10.150 -4.978 -3.455
Cu -1.744 -5.000 -2.063
Pa -3.654 -1.633 -4.035
Pa -8.240 -8.345 -1.483
Na 0.000 0.000 0.000
Na -6.496 -3.345 0.580

---

Record 8
16
Lattice="7.043 1.001 0.000 -1.003 7.043 0.000 0.000 0.000 10.059" Properties=species:S:1:pos:R:3 comment="LaCeDy14 | Alexandria | PBE | optimized geometry" formation_enthalpy_0k_ev_per_atom=0.034 m_tot_mub_per_atom=0.06 pbc="T T T"
Dy 2.503 1.238 7.566
Dy 1.997 4.790 2.493
Dy 4.026 3.267 0.000
Dy 0.504 2.766 0.000
Dy 1.997 4.790 7.566
Dy 3.524 6.788 5.030
Dy 2.503 1.238 2.493
Dy 5.549 5.295 2.493
Dy 5.549 5.295 7.566
Dy 0.504 2.766 5.030
Dy 6.055 1.743 2.493
Dy 6.055 1.743 7.566
Dy 3.524 6.789 0.000
Dy 0.003 6.288 0.000
Ce 0.002 6.288 5.030
La 4.026 3.267 5.030